## Fe2AsBr (GGA-PBE)

Data for crystalline Fe2AsBr at its relaxed geometry.

Calculated values
Calculated volume ... 71.9 Å³/f.u.
E_form (uncorrected) ... 2.6 eV per formula unit
Energy relative to the lowest polymorph listed for this composition ... 239 kJ/mol of formula units
SG ... I-4m2 (119)

abc: 6.2450 6.2450 6.2450
angles: 147.01 147.01 47.35
Element x y z (fractional)
Fe  0.0000  0.0000  0.0000
Fe  0.7500  0.2500  0.5000
As  0.2500  0.7500  0.5000
Br  0.5000  0.5000  0.0000


## TlSiHSe (GGA-PBE)

Data for crystalline TlSiHSe at its relaxed geometry.

Calculated values
Calculated volume ... 96.0 Å³/f.u.
Energy relative to the lowest polymorph listed for this composition ... 69 kJ/mol of formula units
SG ... Pm (6)

abc: 5.4521 2.9776 5.9274
angles: 90.00 93.47 90.00
Element x y z (fractional)
Tl  0.0000  0.0000  0.0000
Si  0.6028  0.5000  0.6561
H  0.3352  0.5000  0.7220
Se  0.5448  0.5000  0.2619


## SmYPt (GGA-PBE)

Data for crystalline SmYPt at its relaxed geometry.

Calculated values
Calculated volume ... 84.4 Å³/f.u.
Energy relative to the lowest polymorph listed for this composition ... 20 kJ/mol of formula units
SG ... F-43m (216)

abc: 4.9234 4.9234 4.9234
angles: 60.00 60.00 60.00
Element x y z (fractional)
Sm  0.0000  0.0000  0.0000
Y  0.5000  0.5000  0.5000
Pt  0.2500  0.2500  0.2500


## BaHg2Mo (GGA-PBE)

Data for crystalline BaHg2Mo at its relaxed geometry.

Calculated values
Calculated volume ... 111.2 Å³/f.u.
Energy relative to the lowest polymorph listed for this composition ... 97 kJ/mol of formula units
SG ... P2/m (10)

abc: 4.1546 5.1762 5.1702
angles: 90.00 90.07 90.00
Element x y z (fractional)
Ba  0.0000  0.0000  0.0000
Hg  0.5000  0.0000  0.5000
Hg  0.5000  0.5000  0.0000
Mo  0.0000  0.5000  0.5000


## SrAl2GaPd4 (GGA-PBE)

Data for crystalline SrAl2GaPd4 at its relaxed geometry.

Calculated values
Final energy ... -4.845 eV per atom
Calculated volume ... 149.0 Å³/f.u.
SG ... R-3m (166)

abc: 9.5392 9.5392 9.5392
angles: 26.19 26.19 26.19
Element x y z (fractional)
Sr  0.0000  0.0000  0.0000
Al  0.2366  0.2366  0.2366
Al  0.7634  0.7634  0.7634
Ga  0.5000  0.5000  0.5000
Pd  0.1356  0.1356  0.1356
Pd  0.4096  0.4096  0.4096
Pd  0.5904  0.5904  0.5904
Pd  0.8644  0.8644  0.8644


## BeRh2N (GGA-PBE)

Data for crystalline BeRh2N at its relaxed geometry.

Calculated values
Calculated volume ... 42.7 Å³/f.u.
E_form (uncorrected) ... 2.6 eV per formula unit
Energy relative to the lowest polymorph listed for this composition ... 131 kJ/mol of formula units
SG ... Fm-3m (225)

abc: 3.9229 3.9229 3.9229
angles: 60.00 60.00 60.00
Element x y z (fractional)
Be  0.0000  0.0000  0.0000
Rh  0.2500  0.2500  0.2500
Rh  0.7500  0.7500  0.7500
N  0.5000  0.5000  0.5000


## YMnIr4 (GGA-PBE)

Data for crystalline YMnIr4 at its relaxed geometry.

Calculated values
Final energy ... -8.840 eV per atom
Calculated volume ... 103.7 Å³/f.u.
SG ... F-43m (216)

abc: 5.2729 5.2729 5.2729
angles: 60.00 60.00 60.00
Element x y z (fractional)
Y  0.0000  0.0000  0.0000
Mn  0.7500  0.7500  0.7500
Ir  0.3754  0.3754  0.3754
Ir  0.3754  0.3754  0.8739
Ir  0.3754  0.8739  0.3754
Ir  0.8739  0.3754  0.3754


## Ti2NbV (GGA-PBE)

Data for crystalline Ti2NbV at its relaxed geometry.

Calculated values
Calculated volume ... 67.3 Å³/f.u.
Energy relative to the lowest polymorph listed for this composition ... 144 kJ/mol of formula units
SG ... I-42d (122)

abc: 5.6671 5.6671 5.6671
angles: 103.36 103.36 122.55
Element x y z (fractional)
Ti  0.1097  0.1250  0.4847
Ti  0.3750  0.8903  0.0153
Ti  0.6403  0.6250  0.5153
Ti  0.8750  0.3597  0.9847
Nb  0.2500  0.7500  0.5000
Nb  0.5000  0.5000  0.0000
V  0.0000  0.0000  0.0000
V  0.7500  0.2500  0.5000


## Zr2ScTe (GGA-PBE)

Data for crystalline Zr2ScTe at its relaxed geometry.

Calculated values
Calculated volume ... 92.4 Å³/f.u.
E_form (uncorrected) ... -1.3 eV per formula unit
SG ... C2/m (12)

abc: 5.5251 5.5251 5.1859
angles: 102.38 102.38 36.82
Element x y z (fractional)
Zr  0.2375  0.2375  0.2357
Zr  0.7625  0.7625  0.7643
Sc  0.0000  0.0000  0.5000
Te  0.5000  0.5000  0.0000


## Y2FeP2 (GGA-PBE)

Data for crystalline Y2FeP2 at its relaxed geometry.

Calculated values
Final energy ... -7.304 eV per atom
Calculated volume ... 86.2 Å³/f.u.
SG ... P4/mbm (127)

abc: 6.2786 6.2786 4.3724
angles: 90.00 90.00 90.00
Element x y z (fractional)
Y  0.1765  0.3235  0.0000
Y  0.3235  0.8235  0.0000
Y  0.6765  0.1765  0.0000
Y  0.8235  0.6765  0.0000
Fe  0.0000  0.0000  0.5000
Fe  0.5000  0.5000  0.5000
P  0.1398  0.6398  0.5000
P  0.3602  0.1398  0.5000
P  0.6398  0.8602  0.5000
P  0.8602  0.3602  0.5000


## Tb6Pm7Pr16 (GGA-PBE)

Data for crystalline Tb6Pm7Pr16 at its relaxed geometry.

Calculated values
Final energy ... -4.530 eV per atom
Calculated volume ... 1063.1 Å³/f.u.
SG ... Fm-3m (225)

abc: 11.4558 11.4558 11.4558
angles: 60.00 60.00 60.00
Element x y z (fractional)
Tb  0.2347  0.2347  0.7653
Tb  0.2347  0.7653  0.2347
Tb  0.2347  0.7653  0.7653
Tb  0.7653  0.2347  0.2347
Tb  0.7653  0.2347  0.7653
Tb  0.7653  0.7653  0.2347
Pm  0.0000  0.0000  0.5000
Pm  0.0000  0.5000  0.0000
Pm  0.0000  0.5000  0.5000
Pm  0.5000  0.0000  0.0000
Pm  0.5000  0.0000  0.5000
Pm  0.5000  0.5000  0.0000
Pm  0.5000  0.5000  0.5000
Pr  0.1236  0.6255  0.6255
Pr  0.1504  0.1504  0.1504
Pr  0.1504  0.1504  0.5487
Pr  0.1504  0.5487  0.1504
Pr  0.3745  0.3745  0.3745
Pr  0.3745  0.3745  0.8764
Pr  0.3745  0.8764  0.3745
Pr  0.4513  0.8496  0.8496
Pr  0.5487  0.1504  0.1504
Pr  0.6255  0.1236  0.6255
Pr  0.6255  0.6255  0.1236
Pr  0.6255  0.6255  0.6255
Pr  0.8496  0.4513  0.8496
Pr  0.8496  0.8496  0.4513
Pr  0.8496  0.8496  0.8496
Pr  0.8764  0.3745  0.3745


## Tb3ErIn4 (GGA-PBE)

Data for crystalline Tb3ErIn4 at its relaxed geometry.

Calculated values
Calculated volume ... 213.4 Å³/f.u.
Energy relative to the lowest polymorph listed for this composition ... 0 kJ/mol of formula units
SG ... P4/mmm (123)

abc: 3.7614 3.7614 15.0799
angles: 90.00 90.00 90.00
Element x y z (fractional)
Tb  0.0000  0.0000  0.0000
Tb  0.0000  0.0000  0.2523
Tb  0.0000  0.0000  0.7477
Er  0.0000  0.0000  0.5000
In  0.5000  0.5000  0.1262
In  0.5000  0.5000  0.3784
In  0.5000  0.5000  0.6216
In  0.5000  0.5000  0.8738